Record 1
5
Lattice="-0.511 -3.316 1.551 2.482 1.847 4.764 -3.285 1.106 1.282" Properties=species:S:1:pos:R:3 comment="SnPCF2 (PBE, optimized geometry)" e_form_raw_ev_per_atom=0.075 total_energy_ev_per_atom=-4.400 m_tot_mub_per_cell=1.1 pbc="T T T"
F -0.255 -1.658 0.776
Sn 1.241 0.923 2.382
C -0.657 -0.181 3.799
F -1.643 0.553 0.641
P 0.000 0.000 0.000

---

Record 2
8
Lattice="7.727 0.000 0.000 0.000 7.727 0.000 3.863 3.863 2.860" Properties=species:S:1:pos:R:3 comment="Sc2InRu (PBE, optimized geometry)" total_energy_ev_per_atom=-6.285 m_tot_mub_per_cell=0.0 ef_ev_per_atom=-0.115 pbc="T T T"
In 0.000 0.000 0.000
Ru 3.863 3.863 0.000
Sc 5.324 1.932 0.715
Sc 2.402 5.795 0.715
In 7.727 3.863 1.430
Sc 5.795 6.265 2.145
Ru 3.863 7.727 1.430
Sc 9.658 9.188 2.145

---

Record 3
10
Lattice="4.701 0.000 0.000 0.000 4.701 0.000 0.000 0.000 11.241" Properties=species:S:1:pos:R:3 comment="Ac2AgPd4Pb3 (PBE, optimized geometry)" total_energy_ev_per_atom=-4.807 m_tot_mub_per_cell=0.0 ef_ev_per_atom=-0.510 pbc="T T T"
Ac 0.000 2.351 8.403
Pd 2.351 2.351 0.000
Pb 0.000 0.000 5.620
Ac 2.351 0.000 2.838
Pd 0.000 2.351 4.105
Pd 2.351 0.000 7.136
Pd 0.000 0.000 0.000
Pb 2.351 0.000 9.833
Ag 2.351 2.351 5.620
Pb 0.000 2.351 1.408

---

Record 4
5
Lattice="5.901 0.000 0.000 0.000 6.328 0.000 0.000 0.000 5.901" Properties=species:S:1:pos:R:3 comment="BaNa2HfTc (PBE, optimized geometry)" total_energy_ev_per_atom=-2.996 m_tot_mub_per_cell=0.2 ef_ev_per_atom=1.980 pbc="T T T"
Ba 0.000 3.164 0.000
Hf 0.000 0.000 0.000
Tc 2.951 3.164 2.951
Na 2.951 0.000 0.000
Na 0.000 0.000 2.951